No. 1
FeAg2Os: optimized geometry, GGA-PBEsol.

Geometry as extended XYZ:
```
4
Lattice="0.000 3.103 3.103 3.103 0.000 3.103 3.103 3.103 0.000" Properties=species:S:1:pos:R:3 pbc="T T T"
Fe 0.000 0.000 0.000
Ag 1.551 1.551 1.551
Ag 4.654 4.654 4.654
Os 3.103 3.103 3.103
```

Output
* energy of formation: 0.953 eV/atom
* relative energy among the computed polymorphs: 642 meV/atom
* M_tot: 3.92 Bohr magnetons per cell

***

No. 2
Rb2NaCoF6: optimized geometry, GGA-PBEsol.

Geometry as extended XYZ:
```
10
Lattice="0.000 4.134 4.134 4.134 0.000 4.134 4.134 4.134 0.000" Properties=species:S:1:pos:R:3 pbc="T T T"
Rb 2.067 2.067 2.067
Rb 6.201 6.201 6.201
Na 0.000 0.000 0.000
Co 4.134 4.134 4.134
F 4.134 4.134 2.283
F 4.134 2.283 4.134
F 5.985 4.134 4.134
F 2.283 4.134 4.134
F 4.134 5.985 4.134
F 4.134 4.134 5.985
```

Output
* formation energy from raw total energies: -24.82 eV/f.u.
* M_tot: 0.16 Bohr magnetons per cell

***

No. 3
AsPb2Au: optimized geometry, GGA-PBEsol.

Geometry as extended XYZ:
```
4
Lattice="4.167 0.000 0.000 0.000 4.167 0.000 0.000 0.000 5.790" Properties=species:S:1:pos:R:3 pbc="T T T"
As 0.000 0.000 0.000
Pb 0.000 0.000 2.895
Pb 2.083 2.083 0.000
Au 2.083 2.083 2.895
```

Output
* energy of formation: 0.052 eV/atom
* M_tot: 0.00 Bohr magnetons per cell

***

No. 4
Mg3GaB: optimized geometry, GGA-PBEsol.

Geometry as extended XYZ:
```
5
Lattice="4.526 0.000 0.000 0.000 4.526 0.000 0.000 0.000 4.526" Properties=species:S:1:pos:R:3 pbc="T T T"
Mg 0.000 0.000 2.263
Mg 0.000 2.263 0.000
Mg 2.263 0.000 0.000
Ga 2.263 2.263 2.263
B 0.000 0.000 0.000
```

Output
* energy of formation: 0.201 eV/atom
* M_tot: 0.00 Bohr magnetons per cell

***

No. 5
Pb2NO: optimized geometry, GGA-PBEsol.

Geometry as extended XYZ:
```
4
Lattice="0.000 3.142 3.142 3.142 0.000 3.142 3.142 3.142 0.000" Properties=species:S:1:pos:R:3 pbc="T T T"
Pb 1.571 1.571 1.571
Pb 4.713 4.713 4.713
N 0.000 0.000 0.000
O 3.142 3.142 3.142
```

Output
* formation energy from raw total energies: 1.31 eV/f.u.
* M_tot: 0.00 Bohr magnetons per cell

***

No. 6
Hf2AsPbW: optimized geometry, GGA-PBEsol.

Geometry as extended XYZ:
```
5
Lattice="5.222 0.000 0.000 0.000 5.222 0.000 0.000 0.000 4.955" Properties=species:S:1:pos:R:3 pbc="T T T"
Hf 0.000 2.611 0.000
Hf 2.611 0.000 0.000
As 0.000 0.000 2.478
Pb 2.611 2.611 0.000
W 2.611 2.611 2.478
```

Output
* energy of formation: 2.070 eV/atom
* M_tot: 0.36 Bohr magnetons per cell

***

No. 7
La2PdAu2: optimized geometry, GGA-PBEsol.

Geometry as extended XYZ:
```
10
Lattice="7.701 0.000 0.000 0.000 7.701 0.000 0.000 0.000 4.037" Properties=species:S:1:pos:R:3 pbc="T T T"
La 1.346 2.505 0.000
La 2.505 6.355 0.000
La 5.196 1.346 0.000
La 6.355 5.196 0.000
Pd 0.000 0.000 2.018
Pd 3.850 3.850 2.018
Au 1.000 4.850 2.018
Au 2.851 1.000 2.018
Au 4.850 6.701 2.018
Au 6.701 2.851 2.018
```

Output
* energy of formation: -0.702 eV/atom
* M_tot: 0.00 Bohr magnetons per cell

***

No. 8
HfSc2Si2: optimized geometry, GGA-PBEsol.

Geometry as extended XYZ:
```
10
Lattice="7.009 0.000 0.000 0.000 7.009 0.000 0.000 0.000 3.715" Properties=species:S:1:pos:R:3 pbc="T T T"
Hf 0.000 0.000 0.000
Hf 3.505 3.505 0.000
Sc 1.223 2.282 1.857
Sc 2.282 5.786 1.857
Sc 4.727 1.223 1.857
Sc 5.786 4.727 1.857
Si 0.871 4.376 0.000
Si 2.633 0.871 0.000
Si 4.376 6.138 0.000
Si 6.138 2.633 0.000
```

Output
* formation energy from raw total energies: -3.78 eV/f.u.
* M_tot: 0.00 Bohr magnetons per cell

***

No. 9
SnAs2Ir: optimized geometry, GGA-PBEsol.

Geometry as extended XYZ:
```
8
Lattice="-2.909 2.909 5.850 2.909 -2.909 5.850 2.909 2.909 -5.850" Properties=species:S:1:pos:R:3 pbc="T T T"
Sn 0.000 0.000 0.000
Sn 0.000 2.909 2.925
As 1.454 -1.150 4.387
As 1.758 1.454 1.462
As 1.454 4.059 -1.462
As 1.150 1.454 7.312
Ir 2.909 0.000 2.925
Ir 0.000 0.000 5.850
```

Output
* energy of formation: 0.093 eV/atom
* M_tot: 0.00 Bohr magnetons per cell

***

No. 10
Sc2Cr2Cu: optimized geometry, GGA-PBEsol.

Geometry as extended XYZ:
```
5
Lattice="-1.913 1.913 5.917 1.913 -1.913 5.917 1.913 1.913 -5.917" Properties=species:S:1:pos:R:3 pbc="T T T"
Sc 1.913 0.000 2.958
Sc 0.000 1.913 2.958
Cr 0.000 0.000 0.883
Cr 0.000 0.000 10.951
Cu 0.000 0.000 5.917
```

Output
* energy of formation: 0.988 eV/atom
* M_tot: 0.00 Bohr magnetons per cell

***

No. 11
Cs2LiCeCl6: optimized geometry, GGA-PBEsol.

Geometry as extended XYZ:
```
10
Lattice="0.000 5.272 5.272 5.272 0.000 5.272 5.272 5.272 0.000" Properties=species:S:1:pos:R:3 pbc="T T T"
Cs 2.636 2.636 2.636
Cs 7.908 7.908 7.908
Li 0.000 0.000 0.000
Ce 5.272 5.272 5.272
Cl 5.272 5.272 2.556
Cl 5.272 2.556 5.272
Cl 7.987 5.272 5.272
Cl 2.556 5.272 5.272
Cl 5.272 7.987 5.272
Cl 5.272 5.272 7.987
```

Output
* formation energy from raw total energies: -20.56 eV/f.u.
* M_tot: 1.00 Bohr magnetons per cell

***

No. 12
Hf3TiH: optimized geometry, GGA-PBEsol.

Geometry as extended XYZ:
```
5
Lattice="4.364 0.000 0.000 0.000 4.364 0.000 0.000 0.000 4.364" Properties=species:S:1:pos:R:3 pbc="T T T"
Hf 0.000 0.000 2.182
Hf 0.000 2.182 0.000
Hf 2.182 0.000 0.000
Ti 2.182 2.182 2.182
H 0.000 0.000 0.000
```

Output
* VASP energy: -8.67 eV per atom
* M_tot: 0.00 Bohr magnetons per cell

***

No. 13
NaLa3Ga: optimized geometry, GGA-PBEsol.

Geometry as extended XYZ:
```
5
Lattice="5.539 0.000 0.000 0.000 5.539 0.000 0.000 0.000 5.539" Properties=species:S:1:pos:R:3 pbc="T T T"
Na 0.000 0.000 0.000
La 0.000 0.000 2.770
La 0.000 2.770 0.000
La 2.770 0.000 0.000
Ga 2.770 2.770 2.770
```

Output
* energy of formation: 0.816 eV/atom
* M_tot: 0.00 Bohr magnetons per cell

***

No. 14
KIn2Ni2: optimized geometry, GGA-PBEsol.

Geometry as extended XYZ:
```
5
Lattice="-1.722 1.722 9.301 1.722 -1.722 9.301 1.722 1.722 -9.301" Properties=species:S:1:pos:R:3 pbc="T T T"
K 0.000 0.000 0.000
In 0.000 0.000 6.599
In 0.000 0.000 12.004
Ni 1.722 0.000 4.651
Ni 0.000 1.722 4.651
```

Output
* energy of formation: 0.048 eV/atom
* M_tot: 0.00 Bohr magnetons per cell